No. 1
{"formula": "K2YHg2Se4", "functional": "GGA-PBE", "state": "relaxed", "cell": [[8.2754, -2.1004, 0.0000], [8.2754, 2.1004, 0.0000], [-3.4215, 0.0000, 7.6187]], "species": ["K", "K", "Y", "Hg", "Hg", "Se", "Se", "Se", "Se"], "frac_coords": [[0.1258, 0.1258, 0.0685], [0.8742, 0.8742, 0.9315], [0.0000, 0.0000, 0.5000], [0.3097, 0.3097, 0.4773], [0.6903, 0.6903, 0.5227], [0.1876, 0.1876, 0.7366], [0.4807, 0.4807, 0.7268], [0.5193, 0.5193, 0.2732], [0.8124, 0.8124, 0.2634]], "e_form_raw_ev_per_atom": -0.975, "space_group": "C2/m (12)"}


No. 2
{"formula": "KScAl", "functional": "GGA-PBE", "state": "relaxed", "cell": [[5.3570, 0.0000, 0.0000], [-2.6785, 4.6393, 0.0000], [0.0000, 0.0000, 3.0006]], "species": ["K", "Sc", "Al"], "frac_coords": [[0.0000, 0.0000, 0.0000], [0.6667, 0.3333, 0.9983], [0.3333, 0.6667, 0.4987]], "e_above_lowest_polymorph_ev_per_atom": 0.2137, "e_form_ev_per_atom": 0.411, "space_group": "P3m1 (156)"}


No. 3
{"formula": "HfGa2Co2", "functional": "GGA-PBE", "state": "relaxed", "cell": [[3.0909, 0.0000, 0.0000], [0.0000, 4.1388, 0.0000], [0.0000, 0.0000, 11.3033]], "species": ["Hf", "Hf", "Ga", "Ga", "Ga", "Ga", "Co", "Co", "Co", "Co"], "frac_coords": [[0.2500, 0.2500, 0.2491], [0.7500, 0.7500, 0.7509], [0.2500, 0.2500, 0.6370], [0.2500, 0.7500, 0.9771], [0.7500, 0.2500, 0.0229], [0.7500, 0.7500, 0.3630], [0.2500, 0.2500, 0.8482], [0.2500, 0.7500, 0.5287], [0.7500, 0.2500, 0.4713], [0.7500, 0.7500, 0.1518]], "e_above_lowest_polymorph_ev_per_atom": 0.0000, "e_form_ev_per_atom": -0.302, "space_group": "Pmmn (59)"}


Number 1 is which compound?
K2YHg2Se4